Entry 1:
Compound: ScHO
Source: the Alexandria database
Functional: PBE
Structure: relaxed

**Polymorph energy (0 for the lowest one)**: 0.0 meV/atom

abc: 4.926 4.926 4.926
angles: 90.00 90.00 90.00
Space group F-43m (No. 216)
Asymmetric unit:
Sc  0.000  0.000  0.000 (multiplicity 4)
H  0.250  0.250  0.750 (multiplicity 4)
O  0.250  0.250  0.250 (multiplicity 4)

Entry 2:
Compound: ScHO
Source: the Alexandria database
Functional: PBE
Structure: relaxed

**Polymorph energy (0 for the lowest one)**: 23.1 meV/atom

abc: 3.5105 3.5105 17.2938
angles: 90.00 90.00 120.00
Space group R-3m (No. 166, hexagonal axes)
Asymmetric unit:
Sc  0.0000  0.0000  0.2455 (multiplicity 6)
H  0.0000  0.0000  0.3657 (multiplicity 6)
O  0.0000  0.0000  0.1166 (multiplicity 6)

Entry 3:
Compound: Sc3HO
Source: the Alexandria database
Functional: PBE
Structure: relaxed

**Polymorph energy (0 for the lowest one)**: 724.2 meV/atom

abc: 4.339 4.339 4.339
angles: 90.00 90.00 90.00
Space group Pm-3m (No. 221)
Asymmetric unit:
Sc  0.000  0.000  0.500 (multiplicity 3)
H  0.500  0.500  0.500 (multiplicity 1)
O  0.000  0.000  0.000 (multiplicity 1)

Entry 4:
Compound: ScHO2
Source: the Alexandria database
Functional: PBE
Structure: relaxed

**Final energy**: -4.84 eV per atom

abc: 3.0790 3.0790 16.3613
angles: 90.00 90.00 120.00
Space group R-3m (No. 166, hexagonal axes)
Asymmetric unit:
Sc  0.0000  0.0000  0.0000 (multiplicity 3)
H  0.0000  0.0000  0.5000 (multiplicity 3)
O  0.0000  0.0000  0.1141 (multiplicity 6)

N(E_F) for every record listed, in sequence, given in states/eV per cell: 0.0 0.0 5.5 8.8.